Crystalline Na2TlSiGe at its relaxed geometry, computed with PBE.

Results
The calculation puts the raw formation energy at 800 meV per atom. The total magnetization comes out at 0.7 μB/f.u. The calculation puts the final energy at -11.0 eV/f.u. The calculation puts the density of states at the Fermi level at 3.19 states/eV/f.u.

```
data_Na2TlSiGe
_symmetry_space_group_name_H-M 'P 4/m m m'
_symmetry_Int_Tables_number 123
_symmetry_space_group_name_Hall '-P 4 2'
_cell_length_a 5.647
_cell_length_b 5.647
_cell_length_c 5.195
_cell_angle_alpha 90.00
_cell_angle_beta 90.00
_cell_angle_gamma 90.00
loop_
_atom_site_label
_atom_site_fract_x
_atom_site_fract_y
_atom_site_fract_z
_atom_site_occupancy
Na1 0.000 0.500 0.000 1
Tl1 0.000 0.000 0.000 1
Si1 0.500 0.500 0.500 1
Ge1 0.000 0.000 0.500 1
```

Crystalline RuPt at its relaxed geometry, computed with PBE.

Results
The total magnetization comes out at 0.8 μB/f.u. The calculation puts the final energy at -13.7 eV/f.u. The calculation puts the density of states at the Fermi level at 4.04 states/eV/f.u.

```
data_RuPt
_symmetry_space_group_name_H-M 'P 63/m m c'
_symmetry_Int_Tables_number 194
_symmetry_space_group_name_Hall '-P 6c 2c'
_cell_length_a 3.9153
_cell_length_b 3.9153
_cell_length_c 5.3005
_cell_angle_alpha 90.00
_cell_angle_beta 90.00
_cell_angle_gamma 120.00
loop_
_atom_site_label
_atom_site_fract_x
_atom_site_fract_y
_atom_site_fract_z
_atom_site_occupancy
Ru1 0.3333 0.6667 0.2500 1
Pt1 0.0000 0.0000 0.0000 1
```